Computed, not measured: a relaxed structure of KFe2CoBr8 at the PBE level of DFT.

## Properties
Its crystal system is monoclinic. The volume is 785.3 Å³/cell. The energy relative to the elements, uncorrected comes out at -0.613 eV/atom. The spin magnetization is 24.00 μB per cell. The mass density comes out at 3.59 g/cm3.

CIF file:
```
data_KFe2CoBr8
_chemical_formula_sum 'K2 Fe4 Co2 Br16'
_space_group_name_H-M_alt 'C 1 2/m 1'
_space_group_IT_number 12
_cell_length_a 10.9942
_cell_length_b 7.5003
_cell_length_c 9.5674
_cell_angle_alpha 90.00
_cell_angle_beta 95.49
_cell_angle_gamma 90.00
loop_
_space_group_symop_operation_xyz
'x,y,z'
'-x,-y,-z'
'-x,y,-z'
'x,-y,z'
'x+1/2,y+1/2,z'
'-x+1/2,-y+1/2,-z'
'-x+1/2,y+1/2,-z'
'x+1/2,-y+1/2,z'
loop_
_atom_site_label
_atom_site_fract_x
_atom_site_fract_y
_atom_site_fract_z
K1 0.0000 0.0000 0.0000
Fe1 0.1219 0.5000 0.2916
Co1 0.0000 0.0000 0.5000
Br1 0.0111 0.2426 0.6995
Br2 0.1959 0.5000 0.0692
Br3 0.2324 0.0000 0.5088
```



Computed, not measured: a relaxed structure of FeCoMoBr2 at the PBE level of DFT.

## Properties
Its crystal system is tetragonal. The volume is 98.9 Å³/cell. The energy relative to the elements, uncorrected comes out at 1.592 eV/atom. The spin magnetization is 0.13 μB per cell. The mass density comes out at 6.22 g/cm3.

CIF file:
```
data_FeCoMoBr2
_chemical_formula_sum 'Fe1 Co1 Mo1 Br2'
_space_group_name_H-M_alt 'P 4/m m m'
_space_group_IT_number 123
_space_group_name_Hall '-P 4 2'
_cell_length_a 4.6438
_cell_length_b 4.6438
_cell_length_c 4.5871
_cell_angle_alpha 90.00
_cell_angle_beta 90.00
_cell_angle_gamma 90.00
loop_
_atom_site_label
_atom_site_fract_x
_atom_site_fract_y
_atom_site_fract_z
Fe1 0.0000 0.0000 0.0000
Co1 0.5000 0.5000 0.5000
Mo1 0.5000 0.5000 0.0000
Br1 0.0000 0.5000 0.5000
```



Computed, not measured: a relaxed structure of FeCoOsBr2 at the PBE level of DFT.

## Properties
Its crystal system is tetragonal. The volume is 98.4 Å³/cell. The energy relative to the elements, uncorrected comes out at 1.685 eV/atom. The spin magnetization is 6.77 μB per cell. The mass density comes out at 7.85 g/cm3.

CIF file:
```
data_FeCoOsBr2
_chemical_formula_sum 'Fe1 Co1 Os1 Br2'
_space_group_name_H-M_alt 'P 4/m m m'
_space_group_IT_number 123
_space_group_name_Hall '-P 4 2'
_cell_length_a 4.6412
_cell_length_b 4.6412
_cell_length_c 4.5672
_cell_angle_alpha 90.00
_cell_angle_beta 90.00
_cell_angle_gamma 90.00
loop_
_atom_site_label
_atom_site_fract_x
_atom_site_fract_y
_atom_site_fract_z
Fe1 0.0000 0.0000 0.0000
Co1 0.0000 0.0000 0.5000
Os1 0.5000 0.5000 0.5000
Br1 0.0000 0.5000 0.0000
```



Computed, not measured: a relaxed structure of Rb2FeCoBr6 at the PBE level of DFT.

## Properties
Its crystal system is cubic. The volume is 1166.1 Å³/cell. The energy relative to the elements, uncorrected comes out at -0.835 eV/atom. The spin magnetization is 28.00 μB per cell. The mass density comes out at 4.36 g/cm3.

CIF file:
```
data_Rb2FeCoBr6
_chemical_formula_sum 'Rb8 Fe4 Co4 Br24'
_space_group_name_H-M_alt 'F m -3 m'
_space_group_IT_number 225
_space_group_name_Hall '-F 4 2 3'
_cell_length_a 10.5254
_cell_length_b 10.5254
_cell_length_c 10.5254
_cell_angle_alpha 90.00
_cell_angle_beta 90.00
_cell_angle_gamma 90.00
loop_
_atom_site_label
_atom_site_fract_x
_atom_site_fract_y
_atom_site_fract_z
Rb1 0.2500 0.2500 0.2500
Fe1 0.0000 0.0000 0.0000
Co1 0.0000 0.0000 0.5000
Br1 0.0000 0.0000 0.2490
```